## Li2Zn2IO6 (PBE)

Data for a relaxed Li2Zn2IO6 crystal.

Properties
The uncorrected formation energy comes out at -1.115 eV per atom. Its total moment is 0.82 μB/f.u. The density of states at the Fermi level comes out at 3.10 states/eV/f.u.

Cell: 5.336 5.336 5.351 Å, 100.74 100.74 117.56°
Atoms (fractional coordinates):
1 Li 0.184 0.816 0.000
2 Li 0.816 0.184 0.000
3 Zn 0.337 0.663 0.500
4 Zn 0.663 0.337 0.500
5 I 0.000 0.000 0.500
6 O 0.050 0.379 0.731
7 O 0.238 0.238 0.288
8 O 0.379 0.050 0.731
9 O 0.621 0.950 0.269
10 O 0.762 0.762 0.712
11 O 0.950 0.621 0.269

***

## Cr2MoSe (PBE)

Data for a relaxed Cr2MoSe crystal.

Properties
The uncorrected formation energy comes out at 0.257 eV per atom. Its total moment is 0.12 μB/f.u. The density of states at the Fermi level comes out at 3.94 states/eV/f.u.

Cell: 8.841 3.032 4.444 Å, 90.00 105.73 90.00°
Atoms (fractional coordinates):
1 Cr 0.000 0.000 0.000
2 Cr 0.232 0.500 0.131
3 Cr 0.500 0.500 0.000
4 Cr 0.732 0.000 0.131
5 Mo 0.002 0.500 0.501
6 Mo 0.502 0.000 0.501
7 Se 0.245 0.000 0.660
8 Se 0.745 0.500 0.660

***

## YTmPb (PBE)

Data for a relaxed YTmPb crystal.

Properties
Its total moment is 0.00 μB/f.u. The energy of formation is -0.033 eV/atom. The density of states at the Fermi level comes out at 3.28 states/eV/f.u.

Cell: 4.986 4.986 7.588 Å, 90.00 90.00 90.00°
Atoms (fractional coordinates):
1 Y 0.250 0.250 0.213
2 Y 0.750 0.750 0.787
3 Tm 0.250 0.250 0.765
4 Tm 0.750 0.750 0.235
5 Pb 0.250 0.750 0.500
6 Pb 0.750 0.250 0.500

***

## Y12HoTm7 (PBE)

Data for a relaxed Y12HoTm7 crystal.

Properties
Its total moment is 0.00 μB/f.u. The energy of formation is 0.336 eV/atom. The density of states at the Fermi level comes out at 30.89 states/eV/f.u.

Cell: 10.944 10.944 10.944 Å, 116.00 116.00 116.00°
Atoms (fractional coordinates):
1 Y 0.084 0.501 0.293
2 Y 0.200 0.269 0.745
3 Y 0.255 0.800 0.731
4 Y 0.269 0.745 0.200
5 Y 0.293 0.084 0.501
6 Y 0.499 0.707 0.916
7 Y 0.501 0.293 0.084
8 Y 0.707 0.916 0.499
9 Y 0.731 0.255 0.800
10 Y 0.745 0.200 0.269
11 Y 0.800 0.731 0.255
12 Y 0.916 0.499 0.707
13 Ho 0.000 0.000 0.000
14 Tm 0.065 0.200 0.365
15 Tm 0.200 0.365 0.065
16 Tm 0.365 0.065 0.200
17 Tm 0.500 0.500 0.500
18 Tm 0.635 0.935 0.800
19 Tm 0.800 0.635 0.935
20 Tm 0.935 0.800 0.635

***

## K2Ba2In (PBE)

Data for a relaxed K2Ba2In crystal.

Properties
Its total moment is 0.00 μB/f.u. The energy of formation is 0.080 eV/atom. The density of states at the Fermi level comes out at 8.53 states/eV/f.u.

Cell: 9.195 9.195 7.409 Å, 90.00 90.00 90.00°
Atoms (fractional coordinates):
1 K 0.172 0.328 0.000
2 K 0.328 0.828 0.000
3 K 0.672 0.172 0.000
4 K 0.828 0.672 0.000
5 Ba 0.165 0.665 0.500
6 Ba 0.335 0.165 0.500
7 Ba 0.665 0.835 0.500
8 Ba 0.835 0.335 0.500
9 In 0.000 0.000 0.500
10 In 0.500 0.500 0.500

***

## Rb2Ta3Br9 (PBE)

Data for a relaxed Rb2Ta3Br9 crystal.

Properties
The uncorrected formation energy comes out at -1.139 eV per atom. Its total moment is 0.00 μB/f.u.

Cell: 10.600 10.600 10.512 Å, 103.11 103.11 117.16°
Atoms (fractional coordinates):
1 Rb 0.050 0.732 0.672
2 Rb 0.268 0.950 0.328
3 Rb 0.732 0.050 0.672
4 Rb 0.950 0.268 0.328
5 Ta 0.295 0.457 0.868
6 Ta 0.388 0.388 0.116
7 Ta 0.457 0.295 0.868
8 Ta 0.543 0.705 0.132
9 Ta 0.612 0.612 0.884
10 Ta 0.705 0.543 0.132
11 Br 0.010 0.396 0.684
12 Br 0.106 0.309 0.981
13 Br 0.189 0.189 0.673
14 Br 0.236 0.236 0.273
15 Br 0.298 0.702 0.000
16 Br 0.309 0.106 0.981
17 Br 0.383 0.584 0.693
18 Br 0.396 0.010 0.684
19 Br 0.416 0.617 0.307
20 Br 0.584 0.383 0.693
21 Br 0.604 0.990 0.316
22 Br 0.617 0.416 0.307
23 Br 0.691 0.894 0.019
24 Br 0.702 0.298 0.000
25 Br 0.764 0.764 0.727
26 Br 0.811 0.811 0.327
27 Br 0.894 0.691 0.019
28 Br 0.990 0.604 0.316

***

## RbCeTeBr2 (PBE)

Data for a relaxed RbCeTeBr2 crystal.

Properties
The uncorrected formation energy comes out at -1.617 eV per atom. Its total moment is 0.98 μB/f.u. The density of states at the Fermi level comes out at 7.57 states/eV/f.u.

Cell: 9.875 9.875 8.987 Å, 90.00 90.00 153.09°
Atoms (fractional coordinates):
1 Rb 0.207 0.793 0.750
2 Rb 0.793 0.207 0.250
3 Ce 0.500 0.500 0.000
4 Ce 0.500 0.500 0.500
5 Te 0.003 0.997 0.750
6 Te 0.997 0.003 0.250
7 Br 0.350 0.650 0.508
8 Br 0.350 0.650 0.992
9 Br 0.650 0.350 0.008
10 Br 0.650 0.350 0.492

***

## ZrSc2Ni (PBE)

Data for a relaxed ZrSc2Ni crystal.

Properties
Its total moment is 0.00 μB/f.u. The energy of formation is -0.249 eV/atom. The density of states at the Fermi level comes out at 4.79 states/eV/f.u.

Cell: 6.234 8.878 5.911 Å, 90.00 90.00 90.00°
Atoms (fractional coordinates):
1 Zr 0.020 0.250 0.132
2 Zr 0.480 0.750 0.632
3 Zr 0.520 0.250 0.368
4 Zr 0.980 0.750 0.868
5 Sc 0.187 0.060 0.683
6 Sc 0.187 0.440 0.683
7 Sc 0.313 0.560 0.183
8 Sc 0.313 0.940 0.183
9 Sc 0.687 0.060 0.817
10 Sc 0.687 0.440 0.817
11 Sc 0.813 0.560 0.317
12 Sc 0.813 0.940 0.317
13 Ni 0.100 0.750 0.450
14 Ni 0.400 0.250 0.950
15 Ni 0.600 0.750 0.050
16 Ni 0.900 0.250 0.550